# 1
{"formula": "ZrCdAgSn", "functional": "PBE", "state": "optimized geometry", "energy_ev_per_atom": -4.3295, "total_magnetization_mub_per_cell": 0.00, "e_form_ev_per_atom": -0.25, "lattice": [[4.216, 0.000, 0.000], [0.000, 4.275, 0.000], [0.000, 0.000, 4.664]], "species": ["Zr", "Cd", "Ag", "Sn"], "frac_coords": [[0.000, 0.000, 0.000], [0.500, 0.000, 0.500], [0.000, 0.500, 0.500], [0.500, 0.500, 0.000]]}

# 2
{"formula": "CaHg2Sb", "functional": "PBE", "state": "optimized geometry", "energy_ev_per_atom": -2.0317, "total_magnetization_mub_per_cell": 0.00, "lattice": [[0.000, 3.806, 3.806], [3.806, 0.000, 3.806], [3.806, 3.806, 0.000]], "species": ["Ca", "Hg", "Hg", "Sb"], "frac_coords": [[0.000, 0.000, 0.000], [0.500, 0.500, 0.500], [0.750, 0.750, 0.750], [0.250, 0.250, 0.250]]}

# 3
{"formula": "BaAc2Eu", "functional": "PBE", "state": "optimized geometry", "energy_ev_per_atom": -5.0293, "total_magnetization_mub_per_cell": 7.73, "e_form_ev_per_atom": 0.07, "relative_energy_ev_per_atom": 0.000, "lattice": [[4.068, 0.000, 0.000], [0.000, 4.068, 0.000], [0.000, 0.000, 11.413]], "species": ["Ba", "Ac", "Ac", "Eu"], "frac_coords": [[0.000, 0.000, 0.000], [0.500, 0.500, 0.271], [0.500, 0.500, 0.729], [0.000, 0.000, 0.500]]}